[1]
Below is a geometry-optimized Li4Tl3Cd structure, with properties calculated at the PBE level.

Calculated values
- final energy (eV/f.u.) = -17.57
- V (Å³ per atom) = 20.2
- formation enthalpy at 0 K (eV/atom) = -0.24

```
data_Li4Tl3Cd
_space_group_name_H-M_alt 'P 1'
_space_group_IT_number 1
_cell_length_a 4.798
_cell_length_b 4.798
_cell_length_c 7.798
_cell_angle_alpha 107.92
_cell_angle_beta 107.92
_cell_angle_gamma 90.00
loop_
_space_group_symop_operation_xyz
'x,y,z'
loop_
_atom_site_label
_atom_site_fract_x
_atom_site_fract_y
_atom_site_fract_z
Li1 0.378 0.377 0.755
Li2 0.122 0.123 0.245
Cd1 0.500 0.000 0.000
Tl1 0.253 0.753 0.507
Li3 0.622 0.623 0.245
Tl2 0.000 0.500 0.000
Li4 0.878 0.877 0.755
Tl3 0.747 0.247 0.493
```

***

[2]
Below is a geometry-optimized LiTlCd2 structure, with properties calculated at the PBE level.

Calculated values
- final energy (eV/f.u.) = -6.54
- V (Å³ per atom) = 22.7
- formation enthalpy at 0 K (eV/atom) = -0.11

```
data_LiTlCd2
_space_group_name_H-M_alt 'P 1'
_space_group_IT_number 1
_cell_length_a 4.301
_cell_length_b 4.515
_cell_length_c 4.672
_cell_angle_alpha 90.00
_cell_angle_beta 90.00
_cell_angle_gamma 90.00
loop_
_space_group_symop_operation_xyz
'x,y,z'
loop_
_atom_site_label
_atom_site_fract_x
_atom_site_fract_y
_atom_site_fract_z
Tl1 0.000 0.500 0.500
Li1 0.500 0.000 0.500
Cd1 0.000 0.000 0.000
Cd2 0.500 0.500 0.000
```

***

[3]
Below is a geometry-optimized Li3Tl2Cd6 structure, with properties calculated at the PBE level.

Calculated values
- final energy (eV/f.u.) = -17.39
- V (Å³ per atom) = 21.8
- formation enthalpy at 0 K (eV/atom) = -0.13

```
data_Li3Tl2Cd6
_space_group_name_H-M_alt 'P 1'
_space_group_IT_number 1
_cell_length_a 8.772
_cell_length_b 4.619
_cell_length_c 15.105
_cell_angle_alpha 72.54
_cell_angle_beta 41.55
_cell_angle_gamma 105.82
loop_
_space_group_symop_operation_xyz
'x,y,z'
loop_
_atom_site_label
_atom_site_fract_x
_atom_site_fract_y
_atom_site_fract_z
Cd1 0.939 0.590 0.883
Li1 0.871 0.154 0.784
Tl1 0.690 0.585 0.763
Cd2 0.061 0.410 0.117
Cd3 0.515 0.689 0.568
Tl2 0.310 0.415 0.237
Cd4 0.603 0.143 0.663
Cd5 0.485 0.311 0.432
Cd6 0.397 0.857 0.337
Li2 0.000 0.000 0.000
Li3 0.129 0.846 0.216
```

***

[4]
Below is a geometry-optimized LiTlCd2 structure, with properties calculated at the PBE level.

Calculated values
- final energy (eV/f.u.) = -6.29
- V (Å³ per atom) = 23.5
- formation enthalpy at 0 K (eV/atom) = -0.04

```
data_LiTlCd2
_space_group_name_H-M_alt 'P 1'
_space_group_IT_number 1
_cell_length_a 3.306
_cell_length_b 3.306
_cell_length_c 10.130
_cell_angle_alpha 80.61
_cell_angle_beta 80.61
_cell_angle_gamma 60.00
loop_
_space_group_symop_operation_xyz
'x,y,z'
loop_
_atom_site_label
_atom_site_fract_x
_atom_site_fract_y
_atom_site_fract_z
Cd1 0.074 0.074 0.779
Cd2 0.260 0.260 0.221
Li1 0.667 0.667 0.000
Tl1 0.500 0.500 0.499
```

***

[5]
Below is a geometry-optimized LiTlCd4 structure, with properties calculated at the PBE level.

Calculated values
- energy above the most stable polymorph in this dataset (meV per atom) = 0
- final energy (eV/f.u.) = -8.27
- V (Å³ per atom) = 22.8
- formation enthalpy at 0 K (eV/atom) = -0.06

```
data_LiTlCd4
_space_group_name_H-M_alt 'P 1'
_space_group_IT_number 1
_cell_length_a 3.232
_cell_length_b 3.954
_cell_length_c 10.712
_cell_angle_alpha 89.99
_cell_angle_beta 90.00
_cell_angle_gamma 90.00
loop_
_space_group_symop_operation_xyz
'x,y,z'
loop_
_atom_site_label
_atom_site_fract_x
_atom_site_fract_y
_atom_site_fract_z
Li1 0.000 0.000 0.000
Cd1 0.500 0.500 0.141
Cd2 0.000 0.000 0.297
Cd3 0.500 0.500 0.859
Cd4 0.000 0.000 0.703
Tl1 0.500 0.500 0.500
```

***

[6]
Below is a geometry-optimized Li2TlCd structure, with properties calculated at the PBE level.

Calculated values
- final energy (eV/f.u.) = -7.62
- V (Å³ per atom) = 21.8
- formation enthalpy at 0 K (eV/atom) = -0.13

```
data_Li2TlCd
_space_group_name_H-M_alt 'P 1'
_space_group_IT_number 1
_cell_length_a 9.660
_cell_length_b 9.660
_cell_length_c 9.660
_cell_angle_alpha 19.42
_cell_angle_beta 19.42
_cell_angle_gamma 19.42
loop_
_space_group_symop_operation_xyz
'x,y,z'
loop_
_atom_site_label
_atom_site_fract_x
_atom_site_fract_y
_atom_site_fract_z
Tl1 0.250 0.250 0.250
Li1 0.501 0.501 0.501
Cd1 0.750 0.750 0.750
Li2 0.999 0.999 0.999
```

***

[7]
Below is a geometry-optimized Li3TlCd structure, with properties calculated at the PBE level.

Calculated values
- energy above the most stable polymorph in this dataset (meV per atom) = 204
- final energy (eV/f.u.) = -9.03
- V (Å³ per atom) = 23.9
- formation enthalpy at 0 K (eV/atom) = 0.00

```
data_Li3TlCd
_space_group_name_H-M_alt 'P 1'
_space_group_IT_number 1
_cell_length_a 4.897
_cell_length_b 7.287
_cell_length_c 7.287
_cell_angle_alpha 113.37
_cell_angle_beta 90.00
_cell_angle_gamma 90.00
loop_
_space_group_symop_operation_xyz
'x,y,z'
loop_
_atom_site_label
_atom_site_fract_x
_atom_site_fract_y
_atom_site_fract_z
Tl1 0.250 0.207 0.793
Cd1 0.250 0.441 0.559
Li1 0.750 0.175 0.489
Li2 0.750 0.511 0.825
Cd2 0.750 0.559 0.441
Li3 0.250 0.489 0.175
Li4 0.250 0.825 0.511
Li5 0.000 0.000 0.000
Li6 0.500 0.000 0.000
Tl2 0.750 0.793 0.207
```

***

[8]
Below is a geometry-optimized Li4TlCd2 structure, with properties calculated at the PBE level.

Calculated values
- energy above the most stable polymorph in this dataset (meV per atom) = 117
- final energy (eV/f.u.) = -12.25
- V (Å³ per atom) = 21.7
- formation enthalpy at 0 K (eV/atom) = -0.06

```
data_Li4TlCd2
_space_group_name_H-M_alt 'P 1'
_space_group_IT_number 1
_cell_length_a 5.184
_cell_length_b 5.302
_cell_length_c 6.134
_cell_angle_alpha 115.60
_cell_angle_beta 90.00
_cell_angle_gamma 90.00
loop_
_space_group_symop_operation_xyz
'x,y,z'
loop_
_atom_site_label
_atom_site_fract_x
_atom_site_fract_y
_atom_site_fract_z
Li1 0.500 0.368 0.736
Cd1 0.500 0.125 0.250
Li2 0.000 0.800 0.600
Li3 0.500 0.632 0.264
Cd2 0.500 0.875 0.750
Tl1 0.000 0.500 0.000
Li4 0.000 0.200 0.400
```